1.
Computed, not measured: a relaxed LiTcNi crystal at the PBE-GGA level of DFT.

Computed properties:
**Crystal system**: orthorhombic
**DOS(E_F)**: 3.36 states/eV/f.u.
**Energy of formation from the pure elements**: 146 meV per atom
**Polymorph energy (0 for the lowest one)**: 24 kJ/mol of formula units

Cell lengths 4.3821, 4.4864, 4.4864 Å; angles 120.58, 90.00, 90.00 degrees
Element x y z (fractional)
Li: 0.0000 0.1581 0.8419
Li: 0.0000 0.8419 0.1581
Tc: 0.5000 0.4696 0.7972
Tc: 0.5000 0.7972 0.4696
Ni: 0.0000 0.4950 0.4950
Ni: 0.5000 0.1444 0.1444


2.
Computed, not measured: a relaxed PtC2Se crystal at the PBE-GGA level of DFT.

Computed properties:
**Crystal system**: tetragonal
**Energy relative to the elements, uncorrected**: 132 kJ/mol of atoms
**DOS(E_F)**: 0.15 states/eV/f.u.

Cell lengths 5.7025, 5.7025, 5.7025 Å; angles 128.22, 128.22, 76.26 degrees
Element x y z (fractional)
Pt: 0.0000 0.0000 0.0000
Pt: 0.7500 0.2500 0.5000
C: 0.1167 0.6250 0.9917
C: 0.3750 0.3667 0.4917
C: 0.6333 0.1250 0.0083
C: 0.8750 0.8833 0.5083
Se: 0.2500 0.7500 0.5000
Se: 0.5000 0.5000 0.0000


3.
Computed, not measured: a relaxed Nd2TmThBi5 crystal at the PBE-GGA level of DFT.

Computed properties:
**Crystal system**: tetragonal
**DOS(E_F)**: 7.12 states/eV/f.u.
**Energy of formation from the pure elements**: 72 meV per atom

Cell lengths 5.7639, 5.7639, 11.8225 Å; angles 90.00, 90.00, 90.00 degrees
Element x y z (fractional)
Nd: 0.0000 0.0000 0.2155
Nd: 0.0000 0.0000 0.7845
Tm: 0.5000 0.5000 0.5000
Th: 0.5000 0.5000 0.0000
Bi: 0.0000 0.0000 0.5000
Bi: 0.0000 0.5000 0.0000
Bi: 0.5000 0.0000 0.0000
Bi: 0.5000 0.5000 0.2585
Bi: 0.5000 0.5000 0.7415